<1>
This record from the Alexandria database describes an optimized crystal structure of Y3Ag2Hg4. The functional is GGA-PBE.

Computed properties:
- Calculated volume: 24.12 Å³ per atom
- M_tot: 0.00 Bohr magnetons per cell

CIF file:
```
data_Y3Ag2Hg4
_space_group_name_H-M_alt 'P 1'
_space_group_IT_number 1
_space_group_name_Hall 'P 1'
_cell_length_a 5.378
_cell_length_b 5.378
_cell_length_c 9.089
_cell_angle_alpha 101.48
_cell_angle_beta 101.48
_cell_angle_gamma 57.98
loop_
_atom_site_label
_atom_site_fract_x
_atom_site_fract_y
_atom_site_fract_z
Y1 0.000 0.000 0.000
Y2 0.371 0.371 0.635
Y3 0.629 0.629 0.365
Ag1 0.278 0.278 0.285
Ag2 0.722 0.722 0.715
Hg1 0.047 0.047 0.668
Hg2 0.327 0.327 0.971
Hg3 0.673 0.673 0.029
Hg4 0.953 0.953 0.332
```

=====

<2>
This record from the Alexandria database describes an optimized crystal structure of Y3Ag2Hg4. The functional is GGA-PBE.

Computed properties:
- Calculated volume: 23.51 Å³ per atom
- M_tot: 0.00 Bohr magnetons per cell

CIF file:
```
data_Y3Ag2Hg4
_space_group_name_H-M_alt 'P 1'
_space_group_IT_number 1
_space_group_name_Hall 'P 1'
_cell_length_a 5.982
_cell_length_b 5.982
_cell_length_c 9.129
_cell_angle_alpha 117.12
_cell_angle_beta 117.12
_cell_angle_gamma 48.40
loop_
_atom_site_label
_atom_site_fract_x
_atom_site_fract_y
_atom_site_fract_z
Y1 0.000 0.000 0.000
Y2 0.333 0.333 0.335
Y3 0.667 0.667 0.665
Ag1 0.391 0.391 0.722
Ag2 0.609 0.609 0.278
Hg1 0.060 0.060 0.389
Hg2 0.286 0.286 0.946
Hg3 0.714 0.714 0.054
Hg4 0.940 0.940 0.611
```

=====

Which is most stable, and by how much? <2>, by 32 meV/atom.

=====

<1>
This record from the Alexandria database describes an optimized crystal structure of YAgHg3. The functional is GGA-PBE.

Computed properties:
- Calculated volume: 22.95 Å³ per atom
- M_tot: 0.00 Bohr magnetons per cell

CIF file:
```
data_YAgHg3
_space_group_name_H-M_alt 'P 1'
_space_group_IT_number 1
_space_group_name_Hall 'P 1'
_cell_length_a 5.078
_cell_length_b 5.099
_cell_length_c 9.210
_cell_angle_alpha 90.00
_cell_angle_beta 105.80
_cell_angle_gamma 90.00
loop_
_atom_site_label
_atom_site_fract_x
_atom_site_fract_y
_atom_site_fract_z
Y1 0.150 0.250 0.303
Y2 0.850 0.750 0.697
Ag1 0.343 0.250 0.687
Ag2 0.657 0.750 0.313
Hg1 0.051 0.750 0.101
Hg2 0.249 0.750 0.498
Hg3 0.449 0.750 0.895
Hg4 0.551 0.250 0.105
Hg5 0.751 0.250 0.502
Hg6 0.949 0.250 0.899
```

=====

<2>
This record from the Alexandria database describes an optimized crystal structure of YAgHg3. The functional is GGA-PBE.

Computed properties:
- Calculated volume: 23.60 Å³ per atom
- M_tot: 0.00 Bohr magnetons per cell

CIF file:
```
data_YAgHg3
_space_group_name_H-M_alt 'P 1'
_space_group_IT_number 1
_space_group_name_Hall 'P 1'
_cell_length_a 9.667
_cell_length_b 4.924
_cell_length_c 9.917
_cell_angle_alpha 90.00
_cell_angle_beta 90.00
_cell_angle_gamma 90.00
loop_
_atom_site_label
_atom_site_fract_x
_atom_site_fract_y
_atom_site_fract_z
Y1 0.247 0.250 0.002
Y2 0.253 0.750 0.502
Y3 0.747 0.250 0.498
Y4 0.753 0.750 0.998
Ag1 0.135 0.250 0.328
Ag2 0.365 0.750 0.828
Ag3 0.635 0.250 0.172
Ag4 0.865 0.750 0.672
Hg1 0.058 0.250 0.608
Hg2 0.073 0.750 0.874
Hg3 0.144 0.750 0.174
Hg4 0.356 0.250 0.674
Hg5 0.427 0.250 0.374
Hg6 0.442 0.750 0.108
Hg7 0.558 0.250 0.892
Hg8 0.573 0.750 0.626
Hg9 0.644 0.750 0.326
Hg10 0.856 0.250 0.826
Hg11 0.927 0.250 0.126
Hg12 0.942 0.750 0.392
```

=====

Which is most stable, and by how much? <1>, by 35 meV/atom.